PBE with a Hubbard U Li3Tl2FeO6, optimized geometry; calculated total energy = -5.00 eV/atom; space group = No. 12
1.0
2.7526 -4.9563 0.0000
2.7526 4.9563 0.0000
-1.5726 0.0000 4.9819
Li Tl Fe O
3 2 1 6
Cartesian
0.0000 0.0000 0.0000 Li
2.7526 1.2734 0.0000 Li
2.7526 -1.2734 0.0000 Li
1.9663 3.2777 2.4910 Tl
1.9663 -3.2777 2.4910 Tl
1.9663 0.0000 2.4910 Fe
1.1694 1.4134 1.3297 O
0.3352 0.0000 3.6460 O
1.1694 -1.4134 1.3297 O
2.7632 1.4134 3.6522 O
3.5974 0.0000 1.3359 O
2.7632 -1.4134 3.6522 O